This record from Alexandria via LeMat-Bulk describes a relaxed structure of LaU2Te4. The functional is PBE.

Values from the calculation:
The total energy comes out at -46.05 eV per formula unit. The uncorrected formation energy comes out at -0.85 eV per atom. For the total magnetic moment, the calculation gives 6.48 μB/f.u.

Cell lengths 4.289, 14.306, 15.235 Å; angles 90.00, 90.00, 90.00 degrees
Space group Cmcm (No. 63)
Asymmetric unit:
1 La 0.000 0.107 0.250
2 U 0.000 0.360 0.061
3 Te 0.000 0.000 0.000
4 Te 0.000 0.279 0.628
5 Te 0.000 0.439 0.250